Record 1
# Sc4GeAu3 (GGA-PBE, relaxed)
# - total magnetic moment (Bohr magnetons per cell) = 0.00
# - V (Å³/atom) = 19.6
# - ΔE_f (eV/atom) = -0.776
data_Sc4GeAu3
_chemical_formula_sum 'Sc12 Ge3 Au9'
_cell_length_a 4.7945
_cell_length_b 4.7945
_cell_length_c 23.6819
_cell_angle_alpha 90.00
_cell_angle_beta 90.00
_cell_angle_gamma 120.00
_space_group_name_H-M_alt 'R -3 m'
_space_group_IT_number 166
_space_group_name_Hall '-R 3 2"'
loop_
_atom_site_label
_atom_site_type_symbol
_atom_site_fract_x
_atom_site_fract_y
_atom_site_fract_z
Sc1 Sc 0.0000 0.0000 0.1234
Sc2 Sc 0.0000 0.0000 0.3735
Ge1 Ge 0.0000 0.0000 0.0000
Au1 Au 0.0000 0.0000 0.2443
Au2 Au 0.0000 0.0000 0.5000

=====

Record 2
# Ce4Ge8Pd (GGA-PBE, relaxed)
# - total magnetic moment (Bohr magnetons per cell) = 1.22
# - V (Å³/atom) = 21.9
# - ΔE_f (eV/atom) = -0.626
data_Ce4Ge8Pd
_chemical_formula_sum 'Ce4 Ge8 Pd1'
_cell_length_a 4.074
_cell_length_b 4.198
_cell_length_c 16.657
_cell_angle_alpha 90.00
_cell_angle_beta 90.00
_cell_angle_gamma 90.00
_space_group_name_H-M_alt 'P m m 2'
_space_group_IT_number 25
_space_group_name_Hall 'P 2 -2'
loop_
_atom_site_label
_atom_site_type_symbol
_atom_site_fract_x
_atom_site_fract_y
_atom_site_fract_z
Ce1 Ce 0.000 0.000 0.000
Ce2 Ce 0.000 0.500 0.487
Ce3 Ce 0.500 0.000 0.788
Ce4 Ce 0.500 0.500 0.279
Ge1 Ge 0.000 0.000 0.331
Ge2 Ge 0.000 0.000 0.620
Ge3 Ge 0.000 0.500 0.139
Ge4 Ge 0.000 0.500 0.855
Ge5 Ge 0.500 0.000 0.141
Ge6 Ge 0.500 0.000 0.429
Ge7 Ge 0.500 0.500 0.618
Ge8 Ge 0.500 0.500 0.950
Pd1 Pd 0.000 0.500 0.706

=====

Record 3
# Ce7ZnIr4 (GGA-PBE, relaxed)
# - total magnetic moment (Bohr magnetons per cell) = 6.44
# - V (Å³/atom) = 24.0
# - ΔE_f (eV/atom) = -0.441
data_Ce7ZnIr4
_chemical_formula_sum 'Ce14 Zn2 Ir8'
_cell_length_a 13.173
_cell_length_b 5.534
_cell_length_c 9.600
_cell_angle_alpha 90.00
_cell_angle_beta 124.77
_cell_angle_gamma 90.00
_space_group_name_H-M_alt 'C 1 2/m 1'
_space_group_IT_number 12
_space_group_name_Hall '-C 2y'
loop_
_atom_site_label
_atom_site_type_symbol
_atom_site_fract_x
_atom_site_fract_y
_atom_site_fract_z
Ce1 Ce 0.000 0.000 0.000
Ce2 Ce 0.074 0.500 0.369
Ce3 Ce 0.179 0.000 0.623
Ce4 Ce 0.190 0.500 0.888
Zn1 Zn 0.000 0.500 0.000
Ir1 Ir 0.061 0.000 0.770
Ir2 Ir 0.204 0.000 0.328

=====

Record 4
# Ce3Sm2YS6 (GGA-PBE, relaxed)
# - total magnetic moment (Bohr magnetons per cell) = 5.07
# - ΔE_f (raw) (eV per atom) = -2.037
# - V (Å³/atom) = 22.7
data_Ce3Sm2YS6
_chemical_formula_sum 'Ce6 Sm4 Y2 S12'
_cell_length_a 6.920
_cell_length_b 11.994
_cell_length_c 6.959
_cell_angle_alpha 90.00
_cell_angle_beta 109.41
_cell_angle_gamma 90.00
_space_group_name_H-M_alt 'C 1 2/m 1'
_space_group_IT_number 12
_space_group_name_Hall '-C 2y'
loop_
_atom_site_label
_atom_site_type_symbol
_atom_site_fract_x
_atom_site_fract_y
_atom_site_fract_z
Ce1 Ce 0.000 0.000 0.000
Ce2 Ce 0.000 0.332 0.000
Sm1 Sm 0.000 0.166 0.500
Y1 Y 0.000 0.500 0.500
S1 S 0.246 0.336 0.744
S2 S 0.246 0.500 0.254